Material: Sc2C
Method: DFT, GGA-PBEsol
State: optimized geometry

a b c (Å): 3.2899 3.2899 5.6274
angles (deg): 90.00 90.00 120.00
Space group P-3m1 (No. 164)
One atom of each set of equivalent atoms:
Sc1 0.3333 0.6667 0.2175 (multiplicity 2)
C1 0.0000 0.0000 0.0000 (multiplicity 1)

Properties
DFT formation energy (meV/atom): -453


Material: ScC
Method: DFT, GGA-PBEsol
State: optimized geometry

a b c (Å): 3.9223 3.9223 4.5377
angles (deg): 90.00 90.00 120.00
Space group P6_3/mmc (No. 194)
One atom of each set of equivalent atoms:
Sc1 0.3333 0.6667 0.2500 (multiplicity 2)
C1 0.3333 0.6667 0.7500 (multiplicity 2)

Properties
DFT formation energy (meV/atom): 132


Material: ScC
Method: DFT, GGA-PBEsol
State: optimized geometry

a b c (Å): 8.428 3.182 6.094
angles (deg): 90.00 117.11 90.00
Space group Cm (No. 8)
One atom of each set of equivalent atoms:
Sc1 0.000 0.000 0.000 (multiplicity 2)
Sc2 0.150 0.500 0.696 (multiplicity 2)
Sc3 0.336 0.500 0.317 (multiplicity 2)
C1 0.170 0.000 0.429 (multiplicity 2)
C2 0.269 0.000 0.008 (multiplicity 2)
C3 0.351 0.000 0.611 (multiplicity 2)

Properties
DFT formation energy (meV/atom): -331